Compound: MnTlF3
Source: Alexandria via LeMat-Bulk
Functional: GGA+U
Structure: optimized geometry Values from VASP.

Volume, Å³ per cell: 188.5
Electronic total energy, eV/atom: -5.33
DOS(E_F), states/eV/f.u.: 0.0
Space-group type: P6_3/mmc (194)

Geometry as Quantum ESPRESSO input:
```
&SYSTEM
  ibrav = 0, nat = 10, ntyp = 3
/
ATOMIC_SPECIES
Tl 204.38 Tl.upf
Mn 54.94 Mn.upf
F 19.00 F.upf
ATOMIC_POSITIONS crystal
Tl 0.000 0.000 0.000
Tl 0.000 0.000 0.500
Mn 0.333 0.667 0.750
Mn 0.667 0.333 0.250
F 0.000 0.000 0.250
F 0.000 0.000 0.750
F 0.333 0.667 0.887
F 0.333 0.667 0.613
F 0.667 0.333 0.387
F 0.667 0.333 0.113
CELL_PARAMETERS angstrom
-3.806 0.531 0.303
1.426 -2.125 -2.882
-1.008 -11.998 8.348
```